Density functional theory data (GGA-PBE) for a geometry-optimized ZrTa2Hg2 structure.

a = 8.262 Å, b = 8.262 Å, c = 3.027 Å
α = 90.00°, β = 90.00°, γ = 90.00°
Atoms (fractional coordinates):
Hg (0.178, 0.678, 0.500)
Hg (0.822, 0.322, 0.500)
Hg (0.322, 0.178, 0.500)
Hg (0.678, 0.822, 0.500)
Zr (0.500, 0.500, 0.000)
Zr (0.000, 0.000, 0.000)
Ta (0.118, 0.382, 0.000)
Ta (0.618, 0.118, 0.000)
Ta (0.882, 0.618, 0.000)
Ta (0.382, 0.882, 0.000)

Computed properties:
- E_form (eV/atom) = 0.448
- M_tot (Bohr magnetons per cell) = 0.00
- offset from the most stable computed form (meV/atom) = 0

Density functional theory data (GGA-PBE) for a geometry-optimized ZrTaHg2 structure.

a = 4.274 Å, b = 3.067 Å, c = 6.892 Å
α = 63.68°, β = 90.00°, γ = 90.00°
Atoms (fractional coordinates):
Hg (0.000, 0.508, 0.492)
Hg (0.000, 0.992, 0.008)
Zr (0.500, 0.750, 0.750)
Ta (0.500, 0.250, 0.250)

Computed properties:
- E_form (eV/atom) = 0.125
- M_tot (Bohr magnetons per cell) = 0.00
- offset from the most stable computed form (meV/atom) = 21

Density functional theory data (GGA-PBE) for a geometry-optimized ZrTaHg2 structure.

a = 6.871 Å, b = 5.273 Å, c = 3.067 Å
α = 89.84°, β = 63.76°, γ = 121.53°
Atoms (fractional coordinates):
Zr (0.500, 0.500, 0.000)
Ta (0.000, 0.500, 0.500)
Hg (0.500, 0.000, 0.500)
Hg (0.000, 0.000, 0.000)

Computed properties:
- E_form (eV/atom) = 0.130
- M_tot (Bohr magnetons per cell) = 0.00
- offset from the most stable computed form (meV/atom) = 26

Density functional theory data (GGA-PBE) for a geometry-optimized ZrTaHg2 structure.

a = 5.542 Å, b = 5.542 Å, c = 5.542 Å
α = 135.50°, β = 135.50°, γ = 64.76°
Atoms (fractional coordinates):
Hg (0.000, 0.000, 0.000)
Hg (0.250, 0.750, 0.500)
Ta (0.500, 0.500, 0.000)
Zr (0.750, 0.250, 0.500)

Computed properties:
- E_form (eV/atom) = 0.249
- M_tot (Bohr magnetons per cell) = 0.00
- offset from the most stable computed form (meV/atom) = 145

Density functional theory data (GGA-PBE) for a geometry-optimized Zr2TaHg2 structure.

a = 7.873 Å, b = 7.873 Å, c = 3.490 Å
α = 90.00°, β = 90.00°, γ = 90.00°
Atoms (fractional coordinates):
Ta (0.000, 0.000, 0.000)
Ta (0.500, 0.500, 0.000)
Zr (0.677, 0.823, 0.500)
Zr (0.323, 0.177, 0.500)
Zr (0.177, 0.677, 0.500)
Zr (0.823, 0.323, 0.500)
Hg (0.373, 0.873, 0.000)
Hg (0.127, 0.373, 0.000)
Hg (0.873, 0.627, 0.000)
Hg (0.627, 0.127, 0.000)

Computed properties:
- E_form (eV/atom) = 0.224
- M_tot (Bohr magnetons per cell) = 0.00

Density functional theory data (GGA-PBE) for a geometry-optimized ZrTaHg2 structure.

a = 3.008 Å, b = 3.008 Å, c = 9.289 Å
α = 90.00°, β = 90.00°, γ = 90.00°
Atoms (fractional coordinates):
Hg (0.500, 0.500, 0.262)
Hg (0.000, 0.000, 0.997)
Zr (0.500, 0.500, 0.740)
Ta (0.000, 0.000, 0.502)

Computed properties:
- E_form (eV/atom) = 0.110
- M_tot (Bohr magnetons per cell) = 0.00
- offset from the most stable computed form (meV/atom) = 6

Density functional theory data (GGA-PBE) for a geometry-optimized ZrTaHg4 structure.

a = 5.650 Å, b = 5.650 Å, c = 5.650 Å
α = 60.00°, β = 60.00°, γ = 60.00°
Atoms (fractional coordinates):
Ta (0.750, 0.750, 0.750)
Hg (0.375, 0.875, 0.375)
Hg (0.375, 0.375, 0.375)
Hg (0.875, 0.375, 0.375)
Hg (0.375, 0.375, 0.875)
Zr (0.000, 0.000, 0.000)

Computed properties:
- E_form (eV/atom) = 0.460
- M_tot (Bohr magnetons per cell) = 0.00

Density functional theory data (GGA-PBE) for a geometry-optimized ZrTaHg2 structure.

a = 4.877 Å, b = 4.877 Å, c = 4.877 Å
α = 60.00°, β = 60.00°, γ = 60.00°
Atoms (fractional coordinates):
Hg (0.250, 0.250, 0.250)
Hg (0.750, 0.750, 0.750)
Zr (0.000, 0.000, 0.000)
Ta (0.500, 0.500, 0.500)

Computed properties:
- E_form (eV/atom) = 0.282
- M_tot (Bohr magnetons per cell) = 0.00
- offset from the most stable computed form (meV/atom) = 178

Density functional theory data (GGA-PBE) for a geometry-optimized ZrTaHg2 structure.

a = 4.934 Å, b = 4.934 Å, c = 4.934 Å
α = 60.00°, β = 60.00°, γ = 60.00°
Atoms (fractional coordinates):
Zr (0.750, 0.750, 0.750)
Hg (0.000, 0.000, 0.000)
Hg (0.250, 0.250, 0.250)
Ta (0.500, 0.500, 0.500)

Computed properties:
- E_form (eV/atom) = 0.561
- M_tot (Bohr magnetons per cell) = 1.53
- offset from the most stable computed form (meV/atom) = 457

Density functional theory data (GGA-PBE) for a geometry-optimized ZrTaHg2 structure.

a = 5.923 Å, b = 5.923 Å, c = 5.923 Å
α = 149.12°, β = 127.87°, γ = 61.83°
Atoms (fractional coordinates):
Hg (0.996, 0.996, 0.000)
Hg (0.746, 0.246, 0.500)
Ta (0.499, 0.499, 0.000)
Zr (0.258, 0.758, 0.500)

Computed properties:
- E_form (eV/atom) = 0.186
- M_tot (Bohr magnetons per cell) = 0.00
- offset from the most stable computed form (meV/atom) = 82

Density functional theory data (GGA-PBE) for a geometry-optimized ZrTaHg2 structure.

a = 9.717 Å, b = 9.717 Å, c = 9.717 Å
α = 19.27°, β = 19.27°, γ = 19.27°
Atoms (fractional coordinates):
Zr (0.753, 0.753, 0.753)
Ta (0.499, 0.499, 0.499)
Hg (0.001, 0.001, 0.001)
Hg (0.247, 0.247, 0.247)

Computed properties:
- E_form (eV/atom) = 0.185
- M_tot (Bohr magnetons per cell) = 0.00
- offset from the most stable computed form (meV/atom) = 80

Density functional theory data (GGA-PBE) for a geometry-optimized ZrTaHg2 structure.

a = 10.329 Å, b = 10.329 Å, c = 10.329 Å
α = 17.12°, β = 17.12°, γ = 17.12°
Atoms (fractional coordinates):
Ta (0.250, 0.250, 0.250)
Hg (0.502, 0.502, 0.502)
Hg (0.998, 0.998, 0.998)
Zr (0.750, 0.750, 0.750)

Computed properties:
- E_form (eV/atom) = 0.213
- M_tot (Bohr magnetons per cell) = 0.00
- offset from the most stable computed form (meV/atom) = 109

| no. | calculated total energy (eV/atom) |
| --- | --- |
| 1 | -6.12 |
| 2 | -5.13 |
| 3 | -5.12 |
| 4 | -5.00 |
| 5 | -5.69 |
| 6 | -5.14 |
| 7 | -3.14 |
| 8 | -4.97 |
| 9 | -4.69 |
| 10 | -5.06 |
| 11 | -5.07 |
| 12 | -5.04 |